Entry 1:
## Cs3SbRh (PBE-GGA)

Data for Cs3SbRh after structural relaxation.

Cell lengths 6.0122, 6.0122, 6.0122 Å; angles 90.00, 90.00, 90.00 degrees
Last column: nearest neighbours and their distance in Å.
Atoms (fractional coordinates):
Cs (0.0000, 0.5000, 0.0000)  2 Rh 3.01
Cs (0.0000, 0.0000, 0.5000)  2 Rh 3.01
Cs (0.5000, 0.0000, 0.0000)  2 Rh 3.01
Sb (0.5000, 0.5000, 0.5000)  12 Cs 4.25
Rh (0.0000, 0.0000, 0.0000)  6 Cs 3.01

## Properties
The calculation puts the formation energy from raw total energies at 368 meV per atom. As for the space group: No. 221.

Entry 2:
## CsSb2Rh2 (PBE-GGA)

Data for CsSb2Rh2 after structural relaxation.

Cell lengths 4.1798, 4.1798, 8.1278 Å; angles 90.00, 90.00, 90.00 degrees
Last column: nearest neighbours and their distance in Å.
Atoms (fractional coordinates):
Cs (0.0000, 0.0000, 0.0000)  8 Sb 3.83, 4 Cs 4.18
Sb (0.5000, 0.5000, 0.6998)  4 Rh 2.65
Sb (0.5000, 0.5000, 0.3002)  4 Rh 2.65
Rh (0.5000, 0.0000, 0.5000)  4 Sb 2.65, 4 Rh 2.96
Rh (0.0000, 0.5000, 0.5000)  4 Sb 2.65, 4 Rh 2.96

## Properties
The calculation puts the formation energy from raw total energies at -245 meV per atom. As for the space group: No. 123.

Entry 3:
## CsScSb2Rh (PBE-GGA)

Data for CsScSb2Rh after structural relaxation.

Cell lengths 5.8917, 5.1725, 5.8917 Å; angles 90.00, 90.00, 90.00 degrees
Last column: nearest neighbours and their distance in Å.
Atoms (fractional coordinates):
Cs (0.0000, 0.0000, 0.0000)  2 Sc 2.59
Sb (0.0000, 0.0000, 0.5000)  2 Cs 2.95
Sb (0.5000, 0.0000, 0.0000)  2 Cs 2.95
Rh (0.5000, 0.5000, 0.5000)  8 Sb 3.92, 4 Sc 4.17
Sc (0.0000, 0.5000, 0.0000)  2 Cs 2.59

## Properties
The calculation puts the formation energy from raw total energies at 2055 meV per atom. As for the space group: No. 123.

Entry 4:
## CsSb2TeRh (PBE-GGA)

Data for CsSb2TeRh after structural relaxation.

Cell lengths 5.1737, 5.1737, 6.0583 Å; angles 90.00, 90.00, 90.00 degrees
Last column: nearest neighbours and their distance in Å.
Atoms (fractional coordinates):
Cs (0.5000, 0.5000, 0.5000)  4 Te 3.66, 8 Sb 3.98
Sb (0.0000, 0.5000, 0.0000)  2 Rh 2.59
Sb (0.5000, 0.0000, 0.0000)  2 Rh 2.59
Te (0.0000, 0.0000, 0.5000)  2 Rh 3.03
Rh (0.0000, 0.0000, 0.0000)  4 Sb 2.59

## Properties
The calculation puts the formation energy from raw total energies at -70 meV per atom. As for the space group: No. 123.

Entry 5:
## CsSbTe2Rh (PBE-GGA)

Data for CsSbTe2Rh after structural relaxation.

Cell lengths 5.6737, 5.6737, 5.0347 Å; angles 90.00, 90.00, 90.00 degrees
Last column: nearest neighbours and their distance in Å.
Atoms (fractional coordinates):
Cs (0.5000, 0.5000, 0.5000)  8 Te 3.79, 4 Sb 4.01
Sb (0.0000, 0.0000, 0.5000)  2 Rh 2.52
Te (0.0000, 0.5000, 0.0000)  2 Rh 2.84
Te (0.5000, 0.0000, 0.0000)  2 Rh 2.84
Rh (0.0000, 0.0000, 0.0000)  2 Sb 2.52

## Properties
The calculation puts the formation energy from raw total energies at -143 meV per atom. As for the space group: No. 123.

Entry 6:
## CsSbTe2Rh (PBE-GGA)

Data for CsSbTe2Rh after structural relaxation.

Cell lengths 6.3571, 6.3571, 6.2531 Å; angles 90.00, 90.00, 90.00 degrees
Last column: nearest neighbours and their distance in Å.
Atoms (fractional coordinates):
Cs (0.0000, 0.0000, 0.0000)  2 Sb 3.13, 4 Te 3.18
Sb (0.0000, 0.0000, 0.5000)  2 Cs 3.13
Te (0.0000, 0.5000, 0.0000)  2 Cs 3.18
Te (0.5000, 0.0000, 0.0000)  2 Cs 3.18
Rh (0.5000, 0.5000, 0.5000)  8 Te 4.46, 4 Sb 4.50

## Properties
The calculation puts the formation energy from raw total energies at 1863 meV per atom. As for the space group: No. 123.

Entry 7:
## CsSb2TeRh (PBE-GGA)

Data for CsSb2TeRh after structural relaxation.

Cell lengths 6.1454, 6.1454, 6.2569 Å; angles 90.00, 90.00, 90.00 degrees
Last column: nearest neighbours and their distance in Å.
Atoms (fractional coordinates):
Cs (0.0000, 0.0000, 0.0000)  4 Sb 3.07, 2 Te 3.13
Sb (0.0000, 0.5000, 0.0000)  2 Cs 3.07
Sb (0.5000, 0.0000, 0.0000)  2 Cs 3.07
Te (0.0000, 0.0000, 0.5000)  2 Cs 3.13
Rh (0.5000, 0.5000, 0.5000)  4 Te 4.35, 8 Sb 4.39

## Properties
The calculation puts the formation energy from raw total energies at 2009 meV per atom. As for the space group: No. 123.

Entry 8:
## CsTlSbRh (PBE-GGA)

Data for CsTlSbRh after structural relaxation.

Cell lengths 4.3715, 4.3715, 14.6866 Å; angles 90.00, 90.00, 90.00 degrees
Last column: nearest neighbours and their distance in Å.
Atoms (fractional coordinates):
Cs (0.7500, 0.7500, 0.2513)  4 Sb 3.83, 4 Tl 4.26
Cs (0.2500, 0.2500, 0.7487)  4 Sb 3.83, 4 Tl 4.26
Tl (0.2500, 0.7500, 0.5000)  4 Tl 3.09
Tl (0.7500, 0.2500, 0.5000)  4 Tl 3.09
Sb (0.7500, 0.7500, 0.9021)  4 Rh 2.62
Sb (0.2500, 0.2500, 0.0979)  4 Rh 2.62
Rh (0.7500, 0.2500, 0.0000)  4 Sb 2.62
Rh (0.2500, 0.7500, 0.0000)  4 Sb 2.62

## Properties
The calculation puts the formation energy from raw total energies at -311 meV per atom. As for the space group: No. 129.

Entry 9:
## CsVSb2Rh (PBE-GGA)

Data for CsVSb2Rh after structural relaxation.

Cell lengths 5.2871, 5.1951, 5.2871 Å; angles 90.00, 90.00, 90.00 degrees
Last column: nearest neighbours and their distance in Å.
Atoms (fractional coordinates):
Cs (0.5000, 0.5000, 0.5000)  8 Sb 3.71, 4 V 3.74
Sb (0.0000, 0.0000, 0.5000)  2 Rh 2.64
Sb (0.5000, 0.0000, 0.0000)  2 Rh 2.64
Rh (0.0000, 0.0000, 0.0000)  2 V 2.60, 4 Sb 2.64
V (0.0000, 0.5000, 0.0000)  2 Rh 2.60

## Properties
The calculation puts the formation energy from raw total energies at 387 meV per atom. As for the space group: No. 123.

Entry 10:
## Cs3ScRh (PBE-GGA)

Data for Cs3ScRh after structural relaxation.

Cell lengths 6.3222, 6.3222, 6.3222 Å; angles 90.00, 90.00, 90.00 degrees
Last column: nearest neighbours and their distance in Å.
Atoms (fractional coordinates):
Cs (0.0000, 0.5000, 0.0000)  2 Rh 3.16
Cs (0.0000, 0.0000, 0.5000)  2 Rh 3.16
Cs (0.5000, 0.0000, 0.0000)  2 Rh 3.16
Sc (0.5000, 0.5000, 0.5000)  12 Cs 4.47
Rh (0.0000, 0.0000, 0.0000)  6 Cs 3.16

## Properties
As for the space group: No. 221. The calculation puts the energy relative to the elements at 0.94 eV per atom.

Entry 11:
## CsSc2Rh (PBE-GGA)

Data for CsSc2Rh after structural relaxation.

Cell lengths 10.4105, 10.4105, 10.4105 Å; angles 21.74, 21.74, 21.74 degrees
Last column: nearest neighbours and their distance in Å.
Atoms (fractional coordinates):
Cs (0.0000, 0.0000, 0.0000)  2 Sc 3.80, 6 Cs 3.93
Sc (0.8752, 0.8752, 0.8752)  3 Rh 2.60
Sc (0.1248, 0.1248, 0.1248)  3 Rh 2.60
Rh (0.5000, 0.5000, 0.5000)  6 Sc 2.60

## Properties
As for the space group: No. 166. The calculation puts the energy relative to the elements at -0.10 eV per atom.

Entry 12:
## CsSc2Rh (PBE-GGA)

Data for CsSc2Rh after structural relaxation.

Cell lengths 5.0630, 5.0630, 5.0630 Å; angles 60.00, 60.00, 60.00 degrees
Last column: nearest neighbours and their distance in Å.
Atoms (fractional coordinates):
Cs (0.5000, 0.5000, 0.5000)  8 Sc 3.10
Sc (0.2500, 0.2500, 0.2500)  4 Cs 3.10, 4 Rh 3.10
Sc (0.7500, 0.7500, 0.7500)  4 Rh 3.10, 4 Cs 3.10
Rh (0.0000, 0.0000, 0.0000)  8 Sc 3.10

## Properties
As for the space group: No. 225. The calculation puts the energy relative to the elements at 0.48 eV per atom.